Record 1
VASP calculation (PBE) on Cs2DyO2 after structural relaxation.

a b c (Å): 12.5644 12.5644 6.8258
angles (deg): 105.45 105.45 29.58
Atoms (fractional coordinates):
Cs1 0.0906 0.0906 0.0877
Cs2 0.3193 0.3193 0.3212
Cs3 0.6807 0.6807 0.6788
Cs4 0.9094 0.9094 0.9123
Dy1 0.2514 0.7486 0.5000
Dy2 0.7486 0.2514 0.5000
O1 0.0005 0.0005 0.2854
O2 0.4373 0.4373 0.4359
O3 0.5627 0.5627 0.5641
O4 0.9995 0.9995 0.7146

**Crystal system**: monoclinic
**Spin magnetization**: 0.000 μB/cell
**Symmetry**: C2/m
**V**: 51.13 Å³ per atom

---

Record 2
VASP calculation (PBE) on Cs2DyOsO6 after structural relaxation.

a b c (Å): 6.6849 6.6849 5.7619
angles (deg): 90.00 90.00 120.00
Atoms (fractional coordinates):
Cs1 0.3333 0.6667 0.3537
Cs2 0.6667 0.3333 0.6463
Dy1 0.0000 0.0000 0.0000
Os1 0.0000 0.0000 0.5000
O1 0.1313 0.2625 0.7041
O2 0.1313 0.8687 0.7041
O3 0.2625 0.1313 0.2959
O4 0.7375 0.8687 0.7041
O5 0.8687 0.1313 0.2959
O6 0.8687 0.7375 0.2959

**Crystal system**: trigonal
**Spin magnetization**: 1.031 μB/cell
**Symmetry**: P-3m1
**V**: 22.30 Å³ per atom

---

Record 3
VASP calculation (PBE) on CsDyOsO6 after structural relaxation.

a b c (Å): 5.6680 5.6680 6.5252
angles (deg): 90.00 90.00 120.00
Atoms (fractional coordinates):
Cs1 0.0000 0.0000 0.0000
Dy1 0.3333 0.6667 0.5000
Os1 0.6667 0.3333 0.5000
O1 0.4167 0.0486 0.6681
O2 0.4167 0.3681 0.3319
O3 0.6319 0.0486 0.3319
O4 0.6319 0.5833 0.6681
O5 0.9514 0.3681 0.6681
O6 0.9514 0.5833 0.3319

**Crystal system**: trigonal
**Spin magnetization**: 0.000 μB/cell
**Symmetry**: P312
**V**: 20.17 Å³ per atom

---

Record 4
VASP calculation (PBE) on CsDyP2O6 after structural relaxation.

a b c (Å): 7.0705 7.0705 8.5664
angles (deg): 100.64 100.64 101.02
Atoms (fractional coordinates):
Cs1 0.1575 0.8425 0.7500
Cs2 0.8425 0.1575 0.2500
Dy1 0.3473 0.6527 0.2500
Dy2 0.6527 0.3473 0.7500
P1 0.1683 0.3630 0.8442
P2 0.3630 0.1683 0.3442
P3 0.6370 0.8317 0.6558
P4 0.8317 0.6370 0.1558
O1 0.0253 0.6316 0.2732
O2 0.2504 0.5589 0.9761
O3 0.3061 0.3260 0.2528
O4 0.3260 0.3061 0.7528
O5 0.3684 0.9747 0.2268
O6 0.4411 0.7496 0.5239
O7 0.5589 0.2504 0.4761
O8 0.6316 0.0253 0.7732
O9 0.6740 0.6939 0.2472
O10 0.6939 0.6740 0.7472
O11 0.7496 0.4411 0.0239
O12 0.9747 0.3684 0.7268

**Crystal system**: monoclinic
**Spin magnetization**: 4.000 μB/cell
**Symmetry**: C2/c
**V**: 20.11 Å³ per atom

---

Record 5
VASP calculation (PBE) on Cs2DyPaO6 after structural relaxation.

a b c (Å): 6.3527 6.3527 6.3527
angles (deg): 60.00 60.00 60.00
Atoms (fractional coordinates):
Cs1 0.2500 0.2500 0.2500
Cs2 0.7500 0.7500 0.7500
Dy1 0.0000 0.0000 0.0000
Pa1 0.5000 0.5000 0.5000
O1 0.2577 0.2577 0.7423
O2 0.2577 0.7423 0.2577
O3 0.2577 0.7423 0.7423
O4 0.7423 0.2577 0.2577
O5 0.7423 0.2577 0.7423
O6 0.7423 0.7423 0.2577

**Crystal system**: cubic
**Spin magnetization**: 2.071 μB/cell
**Symmetry**: Fm-3m
**V**: 18.13 Å³ per atom

---

Record 6
VASP calculation (PBE) on Cs4DyPa3O12 after structural relaxation.

a b c (Å): 7.7562 7.7562 7.7562
angles (deg): 109.47 109.47 109.47
Atoms (fractional coordinates):
Cs1 0.0000 0.0000 0.5000
Cs2 0.0000 0.5000 0.0000
Cs3 0.5000 0.0000 0.0000
Cs4 0.5000 0.5000 0.5000
Dy1 0.0000 0.0000 0.0000
Pa1 0.0000 0.5000 0.5000
Pa2 0.5000 0.0000 0.5000
Pa3 0.5000 0.5000 0.0000
O1 0.0000 0.2630 0.2630
O2 0.0000 0.7370 0.7370
O3 0.2500 0.5000 0.7500
O4 0.2500 0.7500 0.5000
O5 0.2630 0.0000 0.2630
O6 0.2630 0.2630 0.0000
O7 0.5000 0.2500 0.7500
O8 0.5000 0.7500 0.2500
O9 0.7370 0.0000 0.7370
O10 0.7370 0.7370 0.0000
O11 0.7500 0.2500 0.5000
O12 0.7500 0.5000 0.2500

**Crystal system**: cubic
**Spin magnetization**: 1.705 μB/cell
**Symmetry**: Im-3m
**V**: 17.96 Å³ per atom

---

Record 7
VASP calculation (PBE) on Cs2DyPdO4 after structural relaxation.

a b c (Å): 13.8278 12.3069 7.5681
angles (deg): 84.60 62.38 33.02
Atoms (fractional coordinates):
Cs1 0.0639 0.0639 0.6861
Cs2 0.3139 0.3139 0.9361
Cs3 0.6861 0.6861 0.0639
Cs4 0.9361 0.9361 0.3139
Dy1 0.1250 0.1250 0.1250
Dy2 0.8750 0.8750 0.8750
Pd1 0.3750 0.3750 0.3750
Pd2 0.6250 0.6250 0.6250
O1 0.0170 0.6910 0.5319
O2 0.2601 0.5319 0.6910
O3 0.3090 0.9830 0.7399
O4 0.4681 0.7399 0.9830
O5 0.5319 0.2601 0.0170
O6 0.6910 0.0170 0.2601
O7 0.7399 0.4681 0.3090
O8 0.9830 0.3090 0.4681

**Crystal system**: orthorhombic
**Spin magnetization**: 2.140 μB/cell
**Symmetry**: Fddd
**V**: 30.79 Å³ per atom

---

Record 8
VASP calculation (PBE) on Cs2PmDyO4 after structural relaxation.

a b c (Å): 6.2653 3.6174 7.2241
angles (deg): 90.00 106.78 90.00
Atoms (fractional coordinates):
Cs1 0.0000 0.0000 0.0000
Cs2 0.5000 0.5000 0.0000
Pm1 0.0000 0.5000 0.5000
Dy1 0.5000 0.0000 0.5000
O1 0.2296 0.0000 0.6665
O2 0.2848 0.5000 0.3340
O3 0.7152 0.5000 0.6660
O4 0.7704 0.0000 0.3335

**Crystal system**: monoclinic
**Spin magnetization**: 0.000 μB/cell
**Symmetry**: P2/m
**V**: 19.59 Å³ per atom

---

Record 9
VASP calculation (PBE) on Cs2PrDyO4 after structural relaxation.

a b c (Å): 6.3212 3.6500 7.2399
angles (deg): 90.00 106.82 90.00
Atoms (fractional coordinates):
Cs1 0.0000 0.0000 0.0000
Cs2 0.5000 0.5000 0.0000
Pr1 0.0000 0.5000 0.5000
Dy1 0.5000 0.0000 0.5000
O1 0.2340 0.0000 0.6679
O2 0.2880 0.5000 0.3332
O3 0.7120 0.5000 0.6668
O4 0.7660 0.0000 0.3321

**Crystal system**: monoclinic
**Spin magnetization**: 0.000 μB/cell
**Symmetry**: P2/m
**V**: 19.99 Å³ per atom

---

Record 10
VASP calculation (PBE) on CsDyPuO6 after structural relaxation.

a b c (Å): 5.8692 5.8692 6.4644
angles (deg): 90.00 90.00 120.00
Atoms (fractional coordinates):
Cs1 0.0000 0.0000 0.0000
Dy1 0.3333 0.6667 0.5000
Pu1 0.6667 0.3333 0.5000
O1 0.4095 0.0357 0.6719
O2 0.4095 0.3737 0.3281
O3 0.6263 0.0357 0.3281
O4 0.6263 0.5905 0.6719
O5 0.9643 0.3737 0.6719
O6 0.9643 0.5905 0.3281

**Crystal system**: trigonal
**Spin magnetization**: 0.000 μB/cell
**Symmetry**: P312
**V**: 21.43 Å³ per atom

---

Record 11
VASP calculation (PBE) on Cs2DyPuO6 after structural relaxation.

a b c (Å): 6.2178 6.2178 6.2178
angles (deg): 60.00 60.00 60.00
Atoms (fractional coordinates):
Cs1 0.2500 0.2500 0.2500
Cs2 0.7500 0.7500 0.7500
Dy1 0.0000 0.0000 0.0000
Pu1 0.5000 0.5000 0.5000
O1 0.2669 0.2669 0.7331
O2 0.2669 0.7331 0.2669
O3 0.2669 0.7331 0.7331
O4 0.7331 0.2669 0.2669
O5 0.7331 0.2669 0.7331
O6 0.7331 0.7331 0.2669

**Crystal system**: cubic
**Spin magnetization**: 1.000 μB/cell
**Symmetry**: Fm-3m
**V**: 17.00 Å³ per atom

---

Record 12
VASP calculation (PBE) on Cs2DyRe3O12 after structural relaxation.

a b c (Å): 7.6608 7.6608 7.6608
angles (deg): 57.86 57.86 57.86
Atoms (fractional coordinates):
Cs1 0.1163 0.1163 0.1163
Cs2 0.8837 0.8837 0.8837
Dy1 0.5000 0.5000 0.5000
Re1 0.0000 0.5000 0.5000
Re2 0.5000 0.0000 0.5000
Re3 0.5000 0.5000 0.0000
O1 0.1486 0.5693 0.5693
O2 0.1965 0.1965 0.5692
O3 0.1965 0.5692 0.1965
O4 0.4307 0.4307 0.8514
O5 0.4308 0.8035 0.8035
O6 0.4307 0.8514 0.4307
O7 0.5693 0.1486 0.5693
O8 0.5692 0.1965 0.1965
O9 0.5693 0.5693 0.1486
O10 0.8035 0.4308 0.8035
O11 0.8035 0.8035 0.4308
O12 0.8514 0.4307 0.4307

**Crystal system**: trigonal
**Spin magnetization**: 0.877 μB/cell
**Symmetry**: R-3m
**V**: 16.79 Å³ per atom

---

The records above yield raw formation energy values of -190 -170 -173 -225 -241 -269 -137 -249 -245 -236 -238 -189 kJ per mole of atoms, respectively.